1.
A geometry-optimized EuGe6 structure. Source: Alexandria, functional PBE.

Values from the calculation:
- total DFT energy (no corrections) (eV for the cell shown) = -75.71
- formation energy from the elements (eV/atom) = 0.02

Cell: 7.117 7.117 7.117 Å, 90.00 90.00 90.00°
Space group Im-3m (No. 229)
Symmetry-distinct sites (fractional):
Eu  0.000  0.000  0.000
Ge  0.000  0.250  0.500

***

2.
A geometry-optimized Eu2Ge structure. Source: Alexandria, functional PBE.

Values from the calculation:
- total DFT energy (no corrections) (eV for the cell shown) = -107.72
- formation energy from the elements (eV/atom) = -0.59

Cell: 7.694 4.963 9.457 Å, 90.00 90.00 90.00°
Space group Pnma (No. 62)
Symmetry-distinct sites (fractional):
Eu  0.023  0.250  0.179
Eu  0.154  0.250  0.576
Ge  0.247  0.250  0.892

***

3.
A geometry-optimized EuGe2 structure. Source: Alexandria, functional PBE.

Values from the calculation:
- total DFT energy (no corrections) (eV for the cell shown) = -21.14
- formation energy from the elements (eV/atom) = -0.55

Cell: 4.1763 4.1763 4.7863 Å, 90.00 90.00 120.00°
Space group P-3m1 (No. 164)
Symmetry-distinct sites (fractional):
Eu  0.0000  0.0000  0.0000
Ge  0.3333  0.6667  0.4009

***

4.
A geometry-optimized EuGe2 structure. Source: Alexandria, functional PBE.

Values from the calculation:
- total DFT energy (no corrections) (eV for the cell shown) = -18.52
- formation energy from the elements (eV/atom) = 0.33

Cell: 5.1870 5.1870 4.7714 Å, 90.00 90.00 120.00°
Space group P6/mmm (No. 191)
Symmetry-distinct sites (fractional):
Eu  0.0000  0.0000  0.0000
Ge  0.3333  0.6667  0.0000

***

5.
A geometry-optimized Eu5Ge3 structure. Source: Alexandria, functional PBE.

Values from the calculation:
- total DFT energy (no corrections) (eV for the cell shown) = -281.15
- formation energy from the elements (eV/atom) = -0.63

Cell: 7.902 7.902 14.997 Å, 90.00 90.00 90.00°
Space group I4/mcm (No. 140)
Symmetry-distinct sites (fractional):
Eu  0.000  0.000  0.000
Eu  0.175  0.325  0.146
Ge  0.000  0.000  0.250
Ge  0.116  0.384  0.500

***

6.
A geometry-optimized EuGe2 structure. Source: Alexandria, functional PBE.

Values from the calculation:
- total DFT energy (no corrections) (eV for the cell shown) = -167.21
- formation energy from the elements (eV/atom) = -0.46

Cell: 8.122 8.122 8.122 Å, 90.00 90.00 90.00°
Space group Fd-3m (No. 227, origin choice 2)
Symmetry-distinct sites (fractional):
Eu  0.125  0.125  0.125
Ge  0.000  0.000  0.500

***

7.
A geometry-optimized EuGeH structure. Source: Alexandria, functional PBE.

Values from the calculation:
- total DFT energy (no corrections) (eV for the cell shown) = -79.86

Cell: 8.267 4.046 6.316 Å, 90.00 90.00 90.00°
Space group Pnma (No. 62)
Symmetry-distinct sites (fractional):
Eu  0.173  0.250  0.113
Ge  0.035  0.250  0.611
H  0.121  0.750  0.927

***

8.
A geometry-optimized Eu2GeH structure. Source: Alexandria, functional PBE.

Values from the calculation:
- total DFT energy (no corrections) (eV for the cell shown) = -29.93

Cell: 3.414 3.414 7.467 Å, 90.00 90.00 90.00°
Space group P4/mmm (No. 123)
Symmetry-distinct sites (fractional):
Eu  0.000  0.000  0.232
Ge  0.500  0.500  0.500
H  0.500  0.500  0.000

***

9.
A geometry-optimized Eu3GeH structure. Source: Alexandria, functional PBE.

Values from the calculation:
- total DFT energy (no corrections) (eV for the cell shown) = -40.94

Cell: 4.929 4.929 4.929 Å, 90.00 90.00 90.00°
Space group Pm-3m (No. 221)
Symmetry-distinct sites (fractional):
Eu  0.000  0.000  0.500
Ge  0.500  0.500  0.500
H  0.000  0.000  0.000

***

10.
A geometry-optimized Eu2GeH structure. Source: Alexandria, functional PBE.

Values from the calculation:
- total DFT energy (no corrections) (eV for the cell shown) = -90.28

Cell: 3.9456 3.9456 21.1538 Å, 90.00 90.00 120.00°
Space group R-3m (No. 166, hexagonal axes)
Symmetry-distinct sites (fractional):
Eu  0.0000  0.0000  0.2380
Ge  0.0000  0.0000  0.0000
H  0.0000  0.0000  0.5000

***

11.
A geometry-optimized EuHgGe structure. Source: Alexandria, functional PBE.

Values from the calculation:
- total DFT energy (no corrections) (eV for the cell shown) = -32.16
- formation energy from the elements (eV/atom) = -0.29

Cell: 3.683 3.683 11.284 Å, 90.00 90.00 90.00°
Space group I4mm (No. 107)
Symmetry-distinct sites (fractional):
Eu  0.000  0.000  0.000
Hg  0.000  0.000  0.682
Ge  0.000  0.000  0.322

***

12.
A geometry-optimized EuHgGe structure. Source: Alexandria, functional PBE.

Values from the calculation:
- total DFT energy (no corrections) (eV for the cell shown) = -16.54
- formation energy from the elements (eV/atom) = -0.45

Cell: 4.6125 4.6125 4.2487 Å, 90.00 90.00 120.00°
Space group P3m1 (No. 156)
Symmetry-distinct sites (fractional):
Eu  0.0000  0.0000  0.0000
Hg  0.6667  0.3333  0.4623
Ge  0.3333  0.6667  0.5621